La2CrAu | PBE | optimized geometry

Properties
uncorrected energy: -5.70 eV/atom
E_form: -8 meV per atom
ΔE to the lowest computed polymorph: 0.151 eV per atom

a b c (Å): 3.7684 3.7684 7.5399
angles (deg): 90.00 90.00 90.00
Space group P4mm (No. 99)
One atom of each set of equivalent atoms:
1 La 0.0000 0.0000 0.0000 [1 per cell]
2 La 0.5000 0.5000 0.3442 [1 per cell]
3 Cr 0.5000 0.5000 0.7546 [1 per cell]
4 Au 0.0000 0.0000 0.5775 [1 per cell]